No. 1
Density functional theory data (PBE) for a geometry-optimized Li3Ac3Ni8 structure.

abc: 9.090 9.090 9.090
angles: 153.47 131.23 56.38
Fractional positions:
Li  0.000  0.000  0.000
Li  0.172  0.500  0.672
Li  0.828  0.500  0.328
Ac  0.240  0.740  0.500
Ac  0.500  0.000  0.500
Ac  0.760  0.260  0.500
Ni  0.053  0.876  0.177
Ni  0.210  0.368  0.842
Ni  0.300  0.124  0.177
Ni  0.474  0.632  0.842
Ni  0.526  0.368  0.158
Ni  0.700  0.876  0.823
Ni  0.790  0.632  0.158
Ni  0.947  0.124  0.823

Density ... 7.75 g/cm3
Final energy ... -4.6914 eV per atom
DOS at the Fermi energy ... 0.9442 states/eV per atom
E_form ... -1.36 eV per formula unit

---

No. 2
Density functional theory data (PBE) for a geometry-optimized LiAc8Ni2 structure.

abc: 8.594 8.594 6.276
angles: 97.43 97.43 115.70
Fractional positions:
Li  0.000  0.000  0.000
Ac  0.081  0.342  0.581
Ac  0.244  0.756  0.000
Ac  0.342  0.081  0.581
Ac  0.392  0.392  0.201
Ac  0.608  0.608  0.799
Ac  0.658  0.919  0.419
Ac  0.756  0.244  0.000
Ac  0.919  0.658  0.419
Ni  0.292  0.708  0.500
Ni  0.708  0.292  0.500

Density ... 7.95 g/cm3
Final energy ... -4.1898 eV per atom
DOS at the Fermi energy ... 1.3156 states/eV per atom
E_form ... 0.26 eV per formula unit

---

No. 3
Density functional theory data (PBE) for a geometry-optimized LiAc2Ni9 structure.

abc: 8.803 8.803 8.803
angles: 33.47 33.47 33.47
Fractional positions:
Li  0.000  0.000  0.000
Ac  0.131  0.131  0.131
Ac  0.869  0.869  0.869
Ni  0.079  0.577  0.577
Ni  0.332  0.332  0.332
Ni  0.423  0.423  0.921
Ni  0.423  0.921  0.423
Ni  0.500  0.500  0.500
Ni  0.577  0.079  0.577
Ni  0.577  0.577  0.079
Ni  0.668  0.668  0.668
Ni  0.921  0.423  0.423

Density ... 8.89 g/cm3
Final energy ... -5.2455 eV per atom
DOS at the Fermi energy ... 0.9897 states/eV per atom
E_form ... -0.78 eV per formula unit

---

No. 4
Density functional theory data (PBE) for a geometry-optimized Li4AcNi2 structure.

abc: 8.201 8.201 4.114
angles: 90.00 90.00 151.34
Fractional positions:
Li  0.177  0.823  0.000
Li  0.317  0.683  0.500
Li  0.683  0.317  0.500
Li  0.823  0.177  0.000
Ac  0.500  0.500  0.000
Ni  0.073  0.927  0.500
Ni  0.927  0.073  0.500

Density ... 4.66 g/cm3
Final energy ... -3.4150 eV per atom
DOS at the Fermi energy ... 0.4674 states/eV per atom
E_form ... -0.58 eV per formula unit

---

No. 5
Density functional theory data (PBE) for a geometry-optimized LiAcNi4 structure.

abc: 5.060 5.060 5.060
angles: 60.00 60.00 60.00
Fractional positions:
Li  0.000  0.000  0.000
Ac  0.250  0.250  0.250
Ni  0.121  0.626  0.626
Ni  0.626  0.121  0.626
Ni  0.626  0.626  0.121
Ni  0.626  0.626  0.626

Density ... 8.50 g/cm3
Final energy ... -5.0398 eV per atom
DOS at the Fermi energy ... 0.6249 states/eV per atom
E_form ... -1.09 eV per formula unit

---

No. 6
Density functional theory data (PBE) for a geometry-optimized LiAc3Ni3 structure.

abc: 5.872 5.872 14.924
angles: 90.00 90.00 138.57
Fractional positions:
Li  0.000  0.000  0.000
Li  0.000  0.000  0.500
Ac  0.037  0.963  0.750
Ac  0.311  0.689  0.602
Ac  0.311  0.689  0.898
Ac  0.689  0.311  0.102
Ac  0.689  0.311  0.398
Ac  0.963  0.037  0.250
Ni  0.255  0.745  0.250
Ni  0.391  0.609  0.105
Ni  0.391  0.609  0.395
Ni  0.609  0.391  0.605
Ni  0.609  0.391  0.895
Ni  0.745  0.255  0.750

Density ... 8.43 g/cm3
Final energy ... -4.6835 eV per atom
DOS at the Fermi energy ... 0.8153 states/eV per atom
E_form ... -1.20 eV per formula unit

---

No. 7
Density functional theory data (PBE) for a geometry-optimized Li4AcNi structure.

abc: 5.486 5.486 5.486
angles: 60.00 60.00 60.00
Fractional positions:
Li  0.379  0.379  0.379
Li  0.379  0.379  0.864
Li  0.379  0.864  0.379
Li  0.864  0.379  0.379
Ac  0.000  0.000  0.000
Ni  0.750  0.750  0.750

Density ... 4.46 g/cm3
Final energy ... -2.7645 eV per atom
DOS at the Fermi energy ... 0.7539 states/eV per atom
E_form ... 0.96 eV per formula unit

---

No. 8
Density functional theory data (PBE) for a geometry-optimized Li2Ac4Ni structure.

abc: 9.392 9.392 9.392
angles: 145.41 145.41 49.72
Fractional positions:
Li  0.126  0.126  0.000
Li  0.874  0.874  0.000
Ac  0.000  0.500  0.500
Ac  0.321  0.321  0.000
Ac  0.500  0.000  0.500
Ac  0.679  0.679  0.000
Ni  0.500  0.500  0.000

Density ... 6.13 g/cm3
Final energy ... -3.6061 eV per atom
DOS at the Fermi energy ... 1.4380 states/eV per atom
E_form ... 0.80 eV per formula unit

---

The highest DOS at the Fermi energy belongs to which entry? Li2Ac4Ni

---

Look up the final energy of the first one. -4.6914 eV per atom

---

The lowest DOS at the Fermi energy belongs to which entry? Li4AcNi2